No. 1
Density functional theory data (GGA-PBE) for crystalline Ac2TbCeTe5 at its relaxed geometry.

a = 5.526 Å, b = 5.526 Å, c = 11.928 Å
α = 90.00°, β = 90.00°, γ = 90.00°
Positions (direct):
Ac  0.000  0.000  0.196
Ac  0.000  0.000  0.804
Tb  0.500  0.500  0.000
Ce  0.500  0.500  0.500
Te  0.000  0.000  0.500
Te  0.000  0.500  0.000
Te  0.500  0.000  0.000
Te  0.500  0.500  0.250
Te  0.500  0.500  0.750

Calculated values
Space group: P4/mmm (123)
Raw formation energy in eV per atom: -1.0055


No. 2
Density functional theory data (GGA-PBE) for crystalline Mn2CoNi6 at its relaxed geometry.

a = 4.819 Å, b = 4.819 Å, c = 5.502 Å
α = 90.00°, β = 90.00°, γ = 120.00°
Positions (direct):
Mn  0.333  0.667  0.389
Mn  0.667  0.333  0.611
Co  0.000  0.000  0.500
Ni  0.172  0.344  0.824
Ni  0.172  0.828  0.824
Ni  0.344  0.172  0.176
Ni  0.656  0.828  0.824
Ni  0.828  0.172  0.176
Ni  0.828  0.656  0.176

Calculated values
Space group: P-3m1 (164)
Energy of formation from the pure elements in eV per atom: 0.14


No. 3
Density functional theory data (GGA-PBE) for crystalline NbInAsP2 at its relaxed geometry.

a = 4.799 Å, b = 4.799 Å, c = 5.427 Å
α = 90.00°, β = 90.00°, γ = 90.00°
Positions (direct):
Nb  0.000  0.000  0.000
In  0.000  0.000  0.500
As  0.500  0.500  0.000
P  0.000  0.500  0.500
P  0.500  0.000  0.500

Calculated values
Space group: P4/mmm (123)
Energy of formation from the pure elements in eV per atom: 1.65


no.,calculated volume (Å³/cell),magnetization (Bohr magnetons per cell)
1,364,1.71
2,111,12.84
3,125,0.01